Here is a geometry-optimized Ba3Zn8Ga structure from the Alexandria database. Energies are from GGA-PBE.

Cell: 5.697 5.697 10.938 Å, 74.90 74.90 60.00°
Fractional coordinates of all 12 atoms:
Ba: 0.379 0.379 0.863
Zn: 0.948 0.442 0.663
Ba: 0.992 0.992 0.024
Zn: 0.423 0.423 0.202
Zn: 0.663 0.663 0.011
Zn: 0.951 0.423 0.202
Zn: 0.423 0.951 0.202
Ba: 0.508 0.508 0.476
Zn: 0.442 0.948 0.663
Zn: 0.192 0.192 0.425
Zn: 0.948 0.948 0.663
Ga: 0.881 0.881 0.358

Summary:
SG = R3m, No. 160
Calculated formation energy = -0.084 eV per atom